Entry one
A relaxed structure of Ti2RuF. Source: the Alexandria database, functional PBE-GGA.

Values from the calculation:
Magnetic moment (μB per formula unit): 0.00
Space group: I-42d (122)

Unit cell a=6.0162 b=6.0162 c=6.5016 alpha=90.00 beta=90.00 gamma=90.00
Fractional coordinates of all 16 atoms:
Ti  0.1972  0.2500  0.1250
Ti  0.2500  0.6972  0.3750
Ti  0.2500  0.8028  0.8750
Ti  0.3028  0.2500  0.6250
Ti  0.6972  0.7500  0.6250
Ti  0.7500  0.1972  0.8750
Ti  0.7500  0.3028  0.3750
Ti  0.8028  0.7500  0.1250
Ru  0.0000  0.0000  0.5000
Ru  0.0000  0.5000  0.7500
Ru  0.5000  0.0000  0.2500
Ru  0.5000  0.5000  0.0000
F  0.0000  0.0000  0.0000
F  0.0000  0.5000  0.2500
F  0.5000  0.0000  0.7500
F  0.5000  0.5000  0.5000



Entry two
A relaxed structure of Ti2RuF. Source: the Alexandria database, functional PBE-GGA.

Values from the calculation:
Magnetic moment (μB per formula unit): 0.00
Space group: Fm-3m (225)

Unit cell a=6.1113 b=6.1113 c=6.1113 alpha=90.00 beta=90.00 gamma=90.00
Fractional coordinates of all 16 atoms:
Ti  0.2500  0.2500  0.2500
Ti  0.2500  0.2500  0.7500
Ti  0.2500  0.7500  0.2500
Ti  0.2500  0.7500  0.7500
Ti  0.7500  0.2500  0.2500
Ti  0.7500  0.2500  0.7500
Ti  0.7500  0.7500  0.2500
Ti  0.7500  0.7500  0.7500
Ru  0.0000  0.0000  0.0000
Ru  0.0000  0.5000  0.5000
Ru  0.5000  0.0000  0.5000
Ru  0.5000  0.5000  0.0000
F  0.0000  0.0000  0.5000
F  0.0000  0.5000  0.0000
F  0.5000  0.0000  0.0000
F  0.5000  0.5000  0.5000



Most favorable structure: entry one. The second most favorable one is 26.0 kJ/mol of atoms above it.



Entry one
A relaxed structure of Tl3RuF. Source: the Alexandria database, functional PBE-GGA.

Values from the calculation:
Magnetic moment (μB per formula unit): 0.00
Space group: Pm-3m (221)

Unit cell a=5.2500 b=5.2500 c=5.2500 alpha=90.00 beta=90.00 gamma=90.00
Fractional coordinates of all 5 atoms:
Tl  0.0000  0.0000  0.5000
Tl  0.0000  0.5000  0.0000
Tl  0.5000  0.0000  0.0000
Ru  0.0000  0.0000  0.0000
F  0.5000  0.5000  0.5000



Entry two
A relaxed structure of Tl3RuF. Source: the Alexandria database, functional PBE-GGA.

Values from the calculation:
Magnetic moment (μB per formula unit): 2.29
Space group: Pm-3m (221)

Unit cell a=5.0294 b=5.0294 c=5.0294 alpha=90.00 beta=90.00 gamma=90.00
Fractional coordinates of all 5 atoms:
Tl  0.0000  0.0000  0.5000
Tl  0.0000  0.5000  0.0000
Tl  0.5000  0.0000  0.0000
Ru  0.5000  0.5000  0.5000
F  0.0000  0.0000  0.0000



Most favorable structure: entry one. The second most favorable one is 41.2 kJ/mol of atoms above it.



Entry one
A relaxed structure of Tl3RuF6. Source: the Alexandria database, functional PBE-GGA.

Values from the calculation:
Magnetic moment (μB per formula unit): 1.00
Space group: Cmc2_1 (36)

Unit cell a=8.4564 b=8.4564 c=5.2385 alpha=90.00 beta=90.00 gamma=102.26
Fractional coordinates of all 20 atoms:
Tl  0.0855  0.9145  0.5000
Tl  0.2193  0.4487  0.2562
Tl  0.4487  0.2193  0.7562
Tl  0.5513  0.7807  0.2562
Tl  0.7807  0.5513  0.7562
Tl  0.9145  0.0855  0.0000
Ru  0.3099  0.6901  0.9175
Ru  0.6901  0.3099  0.4175
F  0.1227  0.6142  0.6659
F  0.1750  0.8250  0.0771
F  0.1885  0.2622  0.5481
F  0.2622  0.1885  0.0481
F  0.3858  0.8773  0.6659
F  0.4391  0.5609  0.7177
F  0.5609  0.4391  0.2177
F  0.6142  0.1227  0.1659
F  0.7378  0.8115  0.5481
F  0.8115  0.7378  0.0481
F  0.8250  0.1750  0.5771
F  0.8773  0.3858  0.1659



Entry two
A relaxed structure of Tl3RuF6. Source: the Alexandria database, functional PBE-GGA.

Values from the calculation:
Magnetic moment (μB per formula unit): 1.00
Space group: C2/m (12)

Unit cell a=6.2920 b=6.2920 c=6.7681 alpha=117.68 beta=117.68 gamma=60.11
Fractional coordinates of all 10 atoms:
Tl  0.0000  0.0000  0.0000
Tl  0.2391  0.2391  0.7215
Tl  0.7609  0.7609  0.2785
Ru  0.5000  0.5000  0.5000
F  0.2073  0.6606  0.6401
F  0.2997  0.2997  0.2070
F  0.3394  0.7927  0.3599
F  0.6606  0.2073  0.6401
F  0.7003  0.7003  0.7930
F  0.7927  0.3394  0.3599



Most favorable structure: entry two. The second most favorable one is 13.3 kJ/mol of atoms above it.



Entry one
A relaxed structure of Tl2RuF. Source: the Alexandria database, functional PBE-GGA.

Values from the calculation:
Magnetic moment (μB per formula unit): 0.52
Space group: I-42d (122)

Unit cell a=6.9343 b=6.9343 c=6.8906 alpha=90.00 beta=90.00 gamma=90.00
Fractional coordinates of all 16 atoms:
Tl  0.2266  0.2500  0.1250
Tl  0.2500  0.7266  0.3750
Tl  0.2500  0.7734  0.8750
Tl  0.2734  0.2500  0.6250
Tl  0.7266  0.7500  0.6250
Tl  0.7500  0.2266  0.8750
Tl  0.7500  0.2734  0.3750
Tl  0.7734  0.7500  0.1250
Ru  0.0000  0.0000  0.5000
Ru  0.0000  0.5000  0.7500
Ru  0.5000  0.0000  0.2500
Ru  0.5000  0.5000  0.0000
F  0.0000  0.0000  0.0000
F  0.0000  0.5000  0.2500
F  0.5000  0.0000  0.7500
F  0.5000  0.5000  0.5000



Entry two
A relaxed structure of Tl2RuF. Source: the Alexandria database, functional PBE-GGA.

Values from the calculation:
Magnetic moment (μB per formula unit): 0.00
Space group: Fm-3m (225)

Unit cell a=6.7016 b=6.7016 c=6.7016 alpha=90.00 beta=90.00 gamma=90.00
Fractional coordinates of all 16 atoms:
Tl  0.2500  0.2500  0.2500
Tl  0.2500  0.2500  0.7500
Tl  0.2500  0.7500  0.2500
Tl  0.2500  0.7500  0.7500
Tl  0.7500  0.2500  0.2500
Tl  0.7500  0.2500  0.7500
Tl  0.7500  0.7500  0.2500
Tl  0.7500  0.7500  0.7500
Ru  0.0000  0.0000  0.0000
Ru  0.0000  0.5000  0.5000
Ru  0.5000  0.0000  0.5000
Ru  0.5000  0.5000  0.0000
F  0.0000  0.0000  0.5000
F  0.0000  0.5000  0.0000
F  0.5000  0.0000  0.0000
F  0.5000  0.5000  0.5000



Most favorable structure: entry one. The second most favorable one is 10.1 kJ/mol of atoms above it.